Density functional theory data (GGA-PBE) for a geometry-optimized Cd3InPt4 structure.

Properties
Total energy   -4.0613 eV/atom
Formation enthalpy at 0 K   -355 meV per atom

Lattice parameters (Å, degrees): 8.3616 8.3596 4.2535 75.29 75.24 29.47
Closest atoms and distances in Å follow each position.
Sites, in units of the cell vectors:
Cd 0.0000 0.0000 0.0000  8 Pt 2.87, 4 In 3.00-3.01
Cd 0.2492 0.2492 0.7508  8 Pt 2.90-2.91, 4 Cd 3.01
Cd 0.7508 0.7508 0.2492  8 Pt 2.90-2.91, 4 Cd 3.01
In 0.5000 0.5000 0.5000  8 Pt 2.87, 4 Cd 3.00-3.01
Pt 0.1232 0.1232 0.3768  6 Cd 2.87-2.91, 2 In 2.87, 4 Pt 3.00-3.01
Pt 0.3768 0.3768 0.1232  2 In 2.87, 6 Cd 2.87-2.91, 4 Pt 3.00-3.01
Pt 0.6232 0.6232 0.8768  6 Cd 2.87-2.91, 2 In 2.87, 4 Pt 3.00-3.01
Pt 0.8768 0.8768 0.6232  2 In 2.87, 6 Cd 2.87-2.91, 4 Pt 3.00-3.01

Density functional theory data (GGA-PBE) for a geometry-optimized Eu3Th structure.

Properties
Total energy   -9.3239 eV/atom
Formation enthalpy at 0 K   237 meV per atom

Lattice parameters (Å, degrees): 4.0308 6.0933 6.0924 90.00 90.00 90.00
Closest atoms and distances in Å follow each position.
Sites, in units of the cell vectors:
Eu 0.0000 0.0000 0.0000  4 Th 3.65, 6 Eu 3.65-4.03
Eu 0.0000 0.5000 0.4988  6 Eu 3.65-4.03, 4 Th 3.65
Eu 0.5000 0.5000 0.9986  10 Eu 3.65-4.03
Th 0.5000 0.0000 0.5000  8 Eu 3.65, 2 Th 4.03

Density functional theory data (GGA-PBE) for a geometry-optimized LuTaAlTc structure.

Properties
Total energy   -7.7983 eV/atom
Formation enthalpy at 0 K   -178 meV per atom

Lattice parameters (Å, degrees): 4.6771 4.6771 4.6771 60.00 60.00 60.00
Closest atoms and distances in Å follow each position.
Sites, in units of the cell vectors:
Lu 0.0000 0.0000 0.0000  4 Tc 2.86, 4 Al 2.86
Ta 0.5000 0.5000 0.5000  4 Al 2.86, 4 Tc 2.86
Al 0.7500 0.7500 0.7500  4 Lu 2.86, 4 Ta 2.86
Tc 0.2500 0.2500 0.2500  4 Ta 2.86, 4 Lu 2.86

Density functional theory data (GGA-PBE) for a geometry-optimized NaOsC3 structure.

Properties
Total energy   -3.8468 eV/atom
Formation enthalpy at 0 K   4197 meV per atom

Lattice parameters (Å, degrees): 3.8619 3.8619 3.8619 90.00 90.00 90.00
Closest atoms and distances in Å follow each position.
Sites, in units of the cell vectors:
Na 0.0000 0.0000 0.0000  6 C 1.93
Os 0.5000 0.5000 0.5000  12 C 2.73
C 0.0000 0.0000 0.5000  2 Na 1.93
C 0.0000 0.5000 0.0000  2 Na 1.93
C 0.5000 0.0000 0.0000  2 Na 1.93

Density functional theory data (GGA-PBE) for a geometry-optimized InPRh2 structure.

Properties
Total energy   -6.1596 eV/atom
Formation enthalpy at 0 K   -447 meV per atom

Lattice parameters (Å, degrees): 6.9459 6.9459 6.9459 153.98 153.14 37.74
Closest atoms and distances in Å follow each position.
Sites, in units of the cell vectors:
In 0.0000 0.0000 0.0000  6 Rh 2.83-2.84, 2 In 3.13
P 0.2571 0.7571 0.5000  6 Rh 2.31-2.39
Rh 0.6314 0.6314 0.0000  2 P 2.31
Rh 0.8199 0.3199 0.5000  4 P 2.39

Density functional theory data (GGA-PBE) for a geometry-optimized Ti2Te6W structure.

Properties
Total energy   -5.5213 eV/atom
ΔE_f (raw)   -0.233 eV per atom

Lattice parameters (Å, degrees): 6.8366 6.9990 11.3165 90.00 123.52 90.00
Closest atoms and distances in Å follow each position.
Sites, in units of the cell vectors:
Ti 0.2022 0.1599 0.2490  6 Te 2.73-2.96
Ti 0.2022 0.3401 0.7490  6 Te 2.73-2.96
Ti 0.7978 0.6599 0.2510  6 Te 2.73-2.96
Ti 0.7978 0.8401 0.7510  6 Te 2.73-2.96
Te 0.0912 0.1551 0.9230  1 W 2.75, 2 Ti 2.79-2.89
Te 0.0912 0.3449 0.4230  1 W 2.75, 2 Ti 2.79-2.89
Te 0.2739 0.6739 0.9241  1 W 2.74, 2 Ti 2.92-2.96
Te 0.2739 0.8261 0.4241  1 W 2.74, 2 Ti 2.92-2.96
Te 0.4214 0.0116 0.7531  1 W 2.72, 2 Ti 2.73-2.85
Te 0.4214 0.4884 0.2531  1 W 2.72, 2 Ti 2.73-2.85
Te 0.5786 0.5116 0.7469  1 W 2.72, 2 Ti 2.73-2.85
Te 0.5786 0.9884 0.2469  1 W 2.72, 2 Ti 2.73-2.85
Te 0.7261 0.1739 0.5759  1 W 2.74, 2 Ti 2.92-2.96
Te 0.7261 0.3261 0.0759  1 W 2.74, 2 Ti 2.92-2.96
Te 0.9088 0.6551 0.5770  1 W 2.75, 2 Ti 2.79-2.89
Te 0.9088 0.8449 0.0770  1 W 2.75, 2 Ti 2.79-2.89
W 0.0000 0.0000 0.5000  6 Te 2.72-2.75
W 0.0000 0.5000 0.0000  6 Te 2.72-2.75

Among the records above, which one has the lowest total energy? Eu3Th

The lowest total energy belongs to which entry? Eu3Th

Which value of total energy does entry 2 give? -9.3239 eV/atom

Which of these has the lowest total energy? Eu3Th